(1)
A geometry-optimized BaTlZn2 structure, computed with PBE.

Structure (POSCAR):
```
BaTlZn2
1.0
4.461 0.000 0.000
0.000 4.156 0.040
0.000 2.009 6.274
Zn Ba Tl
2 1 1
Cartesian
2.231 0.763 1.227
0.000 0.773 0.063
0.000 2.828 2.897
2.231 4.883 5.283
```

Space-group type: Pm (6)
Calculated formation energy (eV/atom): -0.1342
E_tot (eV/cell): -7.374

***

(2)
A geometry-optimized BaTl3Zn structure, computed with PBE.

Structure (POSCAR):
```
BaTl3Zn
1.0
4.782 0.013 1.645
-0.557 4.747 1.649
0.253 0.279 6.997
Zn Tl Ba
1 3 1
Cartesian
-0.175 4.115 5.985
3.513 2.903 3.062
0.539 2.225 3.926
2.642 4.615 5.575
2.032 1.230 7.316
```

Space-group type: Cm (8)
Calculated formation energy (eV/atom): -0.2411
E_tot (eV/cell): -11.501
Energy relative to the lowest polymorph listed for this composition (meV per atom): 0

***

(3)
A geometry-optimized Ba2Tl2Zn structure, computed with PBE.

Structure (POSCAR):
```
Ba2Tl2Zn
1.0
-5.092 3.092 -5.606
-2.110 -7.573 -2.260
-4.007 0.026 3.655
Ba Tl Zn
4 4 2
Cartesian
-7.147 -4.273 -3.782
-6.975 0.050 -3.624
-4.063 -0.183 -0.429
-4.235 -4.505 -0.587
-3.624 -5.385 -3.936
-1.482 -2.259 -1.609
-3.578 0.904 -3.930
-5.720 -2.223 -6.256
-3.601 -2.241 -3.933
0.000 0.000 0.000
```

Space-group type: P4/mbm (127)
Calculated formation energy (eV/atom): -0.1753
E_tot (eV/cell): -21.457
Energy relative to the lowest polymorph listed for this composition (meV per atom): 131

***

(4)
A geometry-optimized BaTl2Zn2 structure, computed with PBE.

Structure (POSCAR):
```
BaTl2Zn2
1.0
4.878 0.000 0.000
0.000 4.878 0.000
2.439 2.439 5.793
Ba Tl Zn
1 2 2
Cartesian
0.000 0.000 0.000
4.878 2.439 2.896
2.439 4.878 2.896
4.878 4.878 4.527
2.439 2.439 1.265
```

Space-group type: I4/mmm (139)
Calculated formation energy (eV/atom): -0.2193
E_tot (eV/cell): -10.300
Energy relative to the lowest polymorph listed for this composition (meV per atom): 0

***

(5)
A geometry-optimized BaTl3Zn structure, computed with PBE.

Structure (POSCAR):
```
BaTl3Zn
1.0
5.490 0.000 0.000
0.000 5.490 0.000
0.000 0.000 5.490
Tl Ba Zn
3 1 1
Cartesian
0.000 0.000 2.745
0.000 2.745 0.000
2.745 0.000 0.000
2.745 2.745 2.745
0.000 0.000 0.000
```

Space-group type: Pm-3m (221)
Calculated formation energy (eV/atom): -0.0765
E_tot (eV/cell): -10.678
Energy relative to the lowest polymorph listed for this composition (meV per atom): 165

***

(6)
A geometry-optimized BaTlZn3 structure, computed with PBE.

Structure (POSCAR):
```
BaTlZn3
1.0
6.117 0.000 0.000
0.000 6.117 0.000
0.000 0.000 6.117
Zn Tl Ba
3 1 1
Cartesian
3.058 0.000 0.000
0.000 0.000 3.058
0.000 3.058 0.000
3.058 3.058 3.058
0.000 0.000 0.000
```

Space-group type: Pm-3m (221)
Calculated formation energy (eV/atom): 0.7383
E_tot (eV/cell): -4.419
Energy relative to the lowest polymorph listed for this composition (meV per atom): 559

***

(7)
A geometry-optimized Ba6Tl3Zn structure, computed with PBE.

Structure (POSCAR):
```
Ba6Tl3Zn
1.0
-5.655 2.573 5.027
1.199 -8.129 5.510
7.666 6.049 7.256
Ba Tl Zn
12 6 2
Cartesian
3.717 5.936 10.952
1.028 3.593 8.302
2.906 0.309 5.702
-1.721 -3.999 11.260
2.182 -3.099 9.492
-1.262 -0.414 7.567
3.023 2.325 14.879
0.186 -1.832 2.914
4.472 0.908 10.227
4.931 4.493 6.534
-0.507 -5.443 6.842
0.304 0.185 12.091
3.833 3.025 3.628
0.958 3.819 12.174
-2.228 -2.778 5.269
-0.359 1.619 4.601
3.569 -1.125 13.192
2.252 -3.326 5.620
1.605 0.247 8.897
0.000 0.000 0.000
```

Space-group type: P2_1/c (14)
Calculated formation energy (eV/atom): -0.1705
E_tot (eV/cell): -43.229
Energy relative to the lowest polymorph listed for this composition (meV per atom): 96

***

(8)
A geometry-optimized BaZrTl structure, computed with PBE.

Structure (POSCAR):
```
BaZrTl
1.0
5.438 0.000 0.000
2.719 4.709 0.000
2.719 1.570 4.440
Tl Ba Zr
1 1 1
Cartesian
0.000 0.000 0.000
8.157 4.709 3.330
5.438 3.140 2.220
```

Space-group type: F-43m (216)
Calculated formation energy (eV/atom): 1.0816
E_tot (eV/cell): -9.592
Energy relative to the lowest polymorph listed for this composition (meV per atom): 1178